A relaxed structure of Ca2LaTe. Source: Alexandria via LeMat-Bulk, functional GGA-PBE.

## Properties
The total energy is -13.99 eV per cell. As for the space group: I-4m2 (119).

Cell lengths 6.630, 6.630, 6.630 Å; angles 136.81, 136.81, 62.73 degrees
Fractional positions:
Ca 0.000 0.000 0.000
Ca 0.750 0.250 0.500
La 0.250 0.750 0.500
Te 0.500 0.500 0.000

A relaxed structure of PuHgGe4. Source: Alexandria via LeMat-Bulk, functional GGA-PBE.

## Properties
The total energy is -33.36 eV per cell. As for the space group: F-43m (216). The formation energy is -0.0435 eV per atom.

Cell lengths 5.606, 5.606, 5.606 Å; angles 60.00, 60.00, 60.00 degrees
Fractional positions:
Pu 0.000 0.000 0.000
Hg 0.750 0.750 0.750
Ge 0.375 0.375 0.375
Ge 0.375 0.375 0.876
Ge 0.375 0.876 0.375
Ge 0.876 0.375 0.375

A relaxed structure of Pm6MgGa5. Source: Alexandria via LeMat-Bulk, functional GGA-PBE.

## Properties
The total energy is -51.22 eV per cell. As for the space group: Immm (71). The formation energy is -0.4986 eV per atom.

Cell lengths 9.065, 9.065, 9.065 Å; angles 146.55, 131.84, 59.91 degrees
Fractional positions:
Pm 0.074 0.329 0.745
Pm 0.239 0.000 0.239
Pm 0.416 0.671 0.745
Pm 0.584 0.329 0.255
Pm 0.761 0.000 0.761
Pm 0.926 0.671 0.255
Mg 0.500 0.500 0.000
Ga 0.000 0.500 0.500
Ga 0.167 0.167 0.000
Ga 0.344 0.844 0.500
Ga 0.656 0.156 0.500
Ga 0.833 0.833 0.000